YCd2GaBi: relaxed, PBE.

ΔH_f (0 K) in eV/atom: -0.02
DOS at the Fermi energy in states/eV/atom: 0.755
Magnetization in μB per formula unit: 0.00
E_tot in eV/atom: -3.059

Cell lengths 4.9941, 4.9941, 5.7102 Å; angles 90.00, 90.00, 90.00 degrees
Closest atoms and distances in Å follow each position.
Element x y z (fractional)
Y (0.0000, 0.0000, 0.0000)  2 Ga 2.86
Cd (0.0000, 0.5000, 0.5000)  2 Ga 2.50
Cd (0.5000, 0.0000, 0.5000)  2 Ga 2.50
Ga (0.0000, 0.0000, 0.5000)  4 Cd 2.50
Bi (0.5000, 0.5000, 0.0000)  4 Y 3.53, 8 Cd 3.79